KTe2Ru: optimized geometry, PBE.

Lattice parameters (Å, degrees): 3.4143 3.4602 8.4842 90.00 90.00 90.00
Atoms (fractional coordinates):
K (0.5000, 0.5000, 0.2500)
Ru (0.5000, 0.5000, 0.7500)
Te (0.0000, 0.0000, 0.9363)
Te (0.0000, 0.0000, 0.5637)

Results
energy above the most stable polymorph in this dataset: 0.326 eV per atom
VASP energy: -4.21 eV per atom
ΔE_f (raw): -0.044 eV per atom



RbInPb: optimized geometry, PBE.

Lattice parameters (Å, degrees): 9.4127 9.4127 5.1533 90.00 90.00 149.61
Atoms (fractional coordinates):
Pb (0.8556, 0.1444, 0.2500)
Pb (0.1444, 0.8556, 0.7500)
Rb (0.5861, 0.4139, 0.2500)
Rb (0.4139, 0.5861, 0.7500)
In (0.2483, 0.7517, 0.2500)
In (0.7517, 0.2483, 0.7500)

Results
VASP energy: -2.62 eV per atom
energy relative to the elements: -0.148 eV per atom



YMg2Pd2: optimized geometry, PBE.

Lattice parameters (Å, degrees): 7.5119 7.5119 3.5302 90.00 90.00 90.00
Atoms (fractional coordinates):
Y (0.0000, 0.0000, 0.0000)
Y (0.5000, 0.5000, 0.0000)
Mg (0.1478, 0.6478, 0.5000)
Mg (0.6478, 0.8522, 0.5000)
Mg (0.8522, 0.3522, 0.5000)
Mg (0.3522, 0.1478, 0.5000)
Pd (0.3576, 0.8576, 0.0000)
Pd (0.8576, 0.6424, 0.0000)
Pd (0.6424, 0.1424, 0.0000)
Pd (0.1424, 0.3576, 0.0000)

Results
energy above the most stable polymorph in this dataset: 0.029 eV per atom
VASP energy: -4.61 eV per atom
energy relative to the elements: -0.603 eV per atom



La2ScNiBi: optimized geometry, PBE.

Lattice parameters (Å, degrees): 5.3657 5.3657 5.0947 90.00 90.00 90.00
Atoms (fractional coordinates):
Sc (0.0000, 0.0000, 0.5000)
Ni (0.0000, 0.0000, 0.0000)
Bi (0.5000, 0.5000, 0.5000)
La (0.0000, 0.5000, 0.0000)
La (0.5000, 0.0000, 0.0000)

Results
VASP energy: -5.61 eV per atom
energy relative to the elements: -0.438 eV per atom